1.
{
  "formula": "NdSm3Y2Ho6",
  "functional": "PBE",
  "state": "optimized geometry",
  "vol_a3_per_cell": 385.8,
  "final_energy_ev_per_cell": -59.11,
  "cell": [[3.095, -5.357, 0.000], [3.095, 5.357, 0.000], [-2.054, 0.000, 11.634]],
  "species": ["Nd", "Sm", "Sm", "Sm", "Y", "Y", "Ho", "Ho", "Ho", "Ho", "Ho", "Ho"],
  "fractional_positions": [[0.000, 0.000, 0.000], [0.167, 0.833, 0.500], [0.500, 0.500, 0.500], [0.833, 0.167, 0.500], [0.333, 0.667, 0.000], [0.667, 0.333, 0.000], [0.084, 0.417, 0.250], [0.250, 0.250, 0.750], [0.417, 0.084, 0.250], [0.583, 0.916, 0.750], [0.750, 0.750, 0.250], [0.916, 0.583, 0.750]]
}

2.
{
  "formula": "LaYTlPd",
  "functional": "PBE",
  "state": "optimized geometry",
  "vol_a3_per_cell": 106.6,
  "final_energy_ev_per_cell": -21.01,
  "cell": [[0.000, 3.763, 3.763], [3.763, 0.000, 3.763], [3.763, 3.763, 0.000]],
  "species": ["La", "Y", "Tl", "Pd"],
  "fractional_positions": [[0.000, 0.000, 0.000], [0.500, 0.500, 0.500], [0.250, 0.250, 0.250], [0.750, 0.750, 0.750]]
}

3.
{
  "formula": "BaCu3Sb2",
  "functional": "PBE",
  "state": "optimized geometry",
  "formation_energy_uncorrected_ev_per_atom": -0.348,
  "vol_a3_per_cell": 273.3,
  "final_energy_ev_per_cell": -49.09,
  "cell": [[8.285, -2.201, 0.000], [8.285, 2.201, 0.000], [-3.308, 0.000, 7.492]],
  "species": ["Ba", "Ba", "Cu", "Cu", "Cu", "Cu", "Cu", "Cu", "Sb", "Sb", "Sb", "Sb"],
  "fractional_positions": [[0.149, 0.149, 0.077], [0.851, 0.851, 0.923], [0.026, 0.026, 0.381], [0.305, 0.305, 0.536], [0.418, 0.418, 0.394], [0.582, 0.582, 0.606], [0.695, 0.695, 0.464], [0.974, 0.974, 0.619], [0.184, 0.184, 0.667], [0.477, 0.477, 0.787], [0.523, 0.523, 0.213], [0.816, 0.816, 0.333]]
}

4.
{
  "formula": "SrNiGe",
  "functional": "PBE",
  "state": "optimized geometry",
  "vol_a3_per_cell": 275.5,
  "final_energy_ev_per_cell": -54.52,
  "cell": [[5.752, 0.000, 0.000], [0.000, 4.197, 0.000], [0.000, 0.000, 11.412]],
  "species": ["Sr", "Sr", "Sr", "Sr", "Ni", "Ni", "Ni", "Ni", "Ge", "Ge", "Ge", "Ge"],
  "fractional_positions": [[0.119, 0.250, 0.143], [0.381, 0.750, 0.643], [0.619, 0.250, 0.357], [0.881, 0.750, 0.857], [0.100, 0.250, 0.455], [0.400, 0.750, 0.955], [0.600, 0.250, 0.045], [0.900, 0.750, 0.545], [0.134, 0.750, 0.371], [0.366, 0.250, 0.871], [0.634, 0.750, 0.129], [0.866, 0.250, 0.629]]
}

5.
{
  "formula": "Ca3Zn2SnAu9",
  "functional": "PBE",
  "state": "optimized geometry",
  "vol_a3_per_cell": 369.8,
  "final_energy_ev_per_cell": -46.18,
  "cell": [[8.061, 0.000, 0.000], [-4.031, 6.981, 0.000], [0.000, 0.000, 6.571]],
  "species": ["Ca", "Ca", "Ca", "Zn", "Zn", "Sn", "Au", "Au", "Au", "Au", "Au", "Au", "Au", "Au", "Au"],
  "fractional_positions": [[0.000, 0.000, 0.000], [0.333, 0.667, 0.655], [0.667, 0.333, 0.345], [0.333, 0.667, 0.146], [0.667, 0.333, 0.854], [0.000, 0.000, 0.500], [0.000, 0.500, 0.000], [0.171, 0.342, 0.310], [0.171, 0.829, 0.310], [0.342, 0.171, 0.690], [0.500, 0.000, 0.000], [0.500, 0.500, 0.000], [0.658, 0.829, 0.310], [0.829, 0.171, 0.690], [0.829, 0.658, 0.690]]
}

6.
{
  "formula": "LiAlNi3",
  "functional": "PBE",
  "state": "optimized geometry",
  "e_above_lowest_polymorph_ev_per_atom": 0.000,
  "vol_a3_per_cell": 130.8,
  "final_energy_ev_per_cell": -47.46,
  "cell": [[2.438, -5.968, 0.000], [2.438, 5.968, 0.000], [0.000, 0.000, 4.496]],
  "species": ["Li", "Li", "Al", "Al", "Ni", "Ni", "Ni", "Ni", "Ni", "Ni"],
  "fractional_positions": [[0.064, 0.936, 0.750], [0.936, 0.064, 0.250], [0.320, 0.680, 0.250], [0.680, 0.320, 0.750], [0.102, 0.407, 0.750], [0.407, 0.102, 0.250], [0.500, 0.500, 0.000], [0.500, 0.500, 0.500], [0.593, 0.898, 0.750], [0.898, 0.593, 0.250]]
}

Repeat the third record exactly.
{
  "formula": "BaCu3Sb2",
  "functional": "PBE",
  "state": "optimized geometry",
  "formation_energy_uncorrected_ev_per_atom": -0.348,
  "vol_a3_per_cell": 273.3,
  "final_energy_ev_per_cell": -49.09,
  "cell": [[8.285, -2.201, 0.000], [8.285, 2.201, 0.000], [-3.308, 0.000, 7.492]],
  "species": ["Ba", "Ba", "Cu", "Cu", "Cu", "Cu", "Cu", "Cu", "Sb", "Sb", "Sb", "Sb"],
  "fractional_positions": [[0.149, 0.149, 0.077], [0.851, 0.851, 0.923], [0.026, 0.026, 0.381], [0.305, 0.305, 0.536], [0.418, 0.418, 0.394], [0.582, 0.582, 0.606], [0.695, 0.695, 0.464], [0.974, 0.974, 0.619], [0.184, 0.184, 0.667], [0.477, 0.477, 0.787], [0.523, 0.523, 0.213], [0.816, 0.816, 0.333]]
}

What did the fourth record say?
{
  "formula": "SrNiGe",
  "functional": "PBE",
  "state": "optimized geometry",
  "vol_a3_per_cell": 275.5,
  "final_energy_ev_per_cell": -54.52,
  "cell": [[5.752, 0.000, 0.000], [0.000, 4.197, 0.000], [0.000, 0.000, 11.412]],
  "species": ["Sr", "Sr", "Sr", "Sr", "Ni", "Ni", "Ni", "Ni", "Ge", "Ge", "Ge", "Ge"],
  "fractional_positions": [[0.119, 0.250, 0.143], [0.381, 0.750, 0.643], [0.619, 0.250, 0.357], [0.881, 0.750, 0.857], [0.100, 0.250, 0.455], [0.400, 0.750, 0.955], [0.600, 0.250, 0.045], [0.900, 0.750, 0.545], [0.134, 0.750, 0.371], [0.366, 0.250, 0.871], [0.634, 0.750, 0.129], [0.866, 0.250, 0.629]]
}